Compound: NiMoW2
Source: Alexandria
Functional: GGA-PBE
Structure: optimized geometry

Output
Its crystal system is monoclinic. The formation energy comes out at 0.1595 eV/atom. Its magnetization is 0.000 μB per atom. Its density of states at the Fermi level is 4.1 states/eV/f.u. The raw total energy is -10.4702 eV per atom. The distance to the lowest polymorph of the same formula is 0.099 eV/atom.

Lattice parameters (Å, degrees): 2.6691 4.4272 5.1536 90.00 98.93 90.00
Space group Pm (No. 6)
Asymmetric unit:
Ni: 0.0000 0.0000 0.0000 x1
Mo: 0.3679 0.5000 0.7558 x1
W: 0.6111 0.0000 0.4965 x1
W: 0.8844 0.5000 0.2480 x1



Compound: TlMoPb2
Source: Alexandria
Functional: GGA-PBE
Structure: optimized geometry

Output
Its crystal system is monoclinic. The formation energy comes out at 0.7329 eV/atom. Its magnetization is 0.658 μB per atom. Its density of states at the Fermi level is 2.8 states/eV/f.u. The raw total energy is -4.4206 eV per atom. The distance to the lowest polymorph of the same formula is 0.271 eV/atom.

Lattice parameters (Å, degrees): 6.9391 8.7481 3.3761 90.00 90.34 90.00
Space group C2/m (No. 12)
Asymmetric unit:
Tl: 0.0000 0.0000 0.0000 x2
Mo: 0.0000 0.5000 0.0000 x2
Pb: 0.2500 0.2500 0.5000 x4



Compound: Tl3IBr6
Source: Alexandria
Functional: GGA-PBE
Structure: optimized geometry

Output
Its crystal system is orthorhombic. Its magnetization is 0.000 μB per atom. The raw total energy is -2.3840 eV per atom. The distance to the lowest polymorph of the same formula is 0.008 eV/atom. For the formation energy without anion corrections, the calculation gives -0.515 eV/atom.

Lattice parameters (Å, degrees): 12.0640 16.2228 8.3763 90.00 90.00 90.00
Space group Cmc2_1 (No. 36)
Asymmetric unit:
Tl: 0.0000 0.1416 0.0000 x4
Tl: 0.2193 0.3820 0.0164 x8
I: 0.0000 0.3741 0.5041 x4
Br: 0.0000 0.2875 0.8206 x4
Br: 0.0000 0.4760 0.2615 x4
Br: 0.1568 0.0495 0.8474 x8
Br: 0.1600 0.2027 0.2018 x8



Compound: La2CuBIr
Source: Alexandria
Functional: GGA-PBE
Structure: optimized geometry

Output
Its crystal system is tetragonal. The formation energy comes out at -0.2804 eV/atom. Its magnetization is 0.000 μB per atom. Its density of states at the Fermi level is 4.8 states/eV/f.u. The raw total energy is -6.1783 eV per atom.

Lattice parameters (Å, degrees): 5.3754 5.3754 3.9913 90.00 90.00 90.00
Space group P4/mmm (No. 123)
Asymmetric unit:
La: 0.0000 0.5000 0.0000 x2
Cu: 0.0000 0.0000 0.5000 x1
B: 0.5000 0.5000 0.0000 x1
Ir: 0.5000 0.5000 0.5000 x1